Entry from Alexandria: a geometry-optimized YB6Rh12 structure (PBE-GGA).

Summary:
SG	R-3m (166)

Lattice parameters (Å, degrees): 6.4902 6.4902 6.4902 104.24 104.24 104.24
Closest atoms and distances in Å follow each position.
Sites, in units of the cell vectors:
B 0.2346 0.6714 0.2346  7 Rh 2.21-2.31
B 0.2346 0.2346 0.6714  7 Rh 2.21-2.31
B 0.3286 0.7654 0.7654  7 Rh 2.21-2.31
B 0.7654 0.3286 0.7654  7 Rh 2.21-2.31
B 0.7654 0.7654 0.3286  7 Rh 2.21-2.31
B 0.6714 0.2346 0.2346  7 Rh 2.21-2.31
Y 0.0000 0.0000 0.0000  18 Rh 3.28-3.52, 6 B 3.35
Rh 0.4487 0.4487 0.1853  3 B 2.26-2.31
Rh 0.4487 0.1853 0.4487  3 B 2.26-2.31
Rh 0.5513 0.8147 0.5513  3 B 2.26-2.31
Rh 0.1332 0.8668 0.5000  4 B 2.21-2.22
Rh 0.5000 0.8668 0.1332  4 B 2.21-2.22
Rh 0.5513 0.5513 0.8147  3 B 2.26-2.31
Rh 0.8147 0.5513 0.5513  3 B 2.26-2.31
Rh 0.8668 0.5000 0.1332  4 B 2.21-2.22
Rh 0.5000 0.1332 0.8668  4 B 2.21-2.22
Rh 0.1853 0.4487 0.4487  3 B 2.26-2.31
Rh 0.1332 0.5000 0.8668  4 B 2.21-2.22
Rh 0.8668 0.1332 0.5000  4 B 2.21-2.22

Entry from Alexandria: a geometry-optimized YB2Rh4 structure (PBE-GGA).

Summary:
SG	Immm (71)

Lattice parameters (Å, degrees): 5.4839 4.2164 5.4839 112.61 119.86 67.39
Closest atoms and distances in Å follow each position.
Sites, in units of the cell vectors:
B 0.4998 0.7879 0.5002  1 B 1.79
B 0.5002 0.2121 0.4998  1 B 1.79
Rh 0.4174 0.3404 0.0984  2 B 2.25-2.26
Rh 0.9016 0.3404 0.5826  2 B 2.25-2.26
Rh 0.5826 0.6596 0.9016  2 B 2.25-2.26
Rh 0.0984 0.6596 0.4174  2 B 2.25-2.26
Y 0.0000 0.0000 0.0000  12 Rh 2.88-3.19, 4 B 2.89

Entry from Alexandria: a geometry-optimized YB2Rh3 structure (PBE-GGA).

Summary:
SG	Cmcm (63)
energy relative to the lowest polymorph listed for this composition	0.186	eV/atom

Lattice parameters (Å, degrees): 5.3769 5.5654 5.5654 91.20 90.00 90.00
Closest atoms and distances in Å follow each position.
Sites, in units of the cell vectors:
Rh 0.7500 0.1285 0.5157  2 B 2.06
Rh 0.7500 0.0310 0.0310  4 B 2.20
Rh 0.2500 0.4843 0.8715  2 B 2.06
Rh 0.7500 0.5157 0.1285  2 B 2.06
Rh 0.2500 0.9690 0.9690  4 B 2.20
Rh 0.2500 0.8715 0.4843  2 B 2.06
B 0.5000 0.2161 0.7839  4 Rh 2.06-2.20
B 0.5000 0.7839 0.2161  4 Rh 2.06-2.20
B 0.0000 0.7839 0.2161  4 Rh 2.06-2.20
B 0.0000 0.2161 0.7839  4 Rh 2.06-2.20
Y 0.2500 0.3519 0.3519  9 Rh 2.79-3.11, 4 B 2.87
Y 0.7500 0.6481 0.6481  9 Rh 2.79-3.11, 4 B 2.87

Entry from Alexandria: a geometry-optimized Y3B2Rh5 structure (PBE-GGA).

Summary:
SG	P4/mbm (127)

Lattice parameters (Å, degrees): 3.2564 9.8741 9.8741 90.00 90.00 90.00
Closest atoms and distances in Å follow each position.
Sites, in units of the cell vectors:
Y 0.0000 0.5000 0.5000  8 Rh 2.90
Y 0.0000 0.1747 0.3253  3 B 2.86-2.97, 10 Rh 2.93-3.07
Y 0.0000 0.3253 0.8253  3 B 2.86-2.97, 10 Rh 2.93-3.07
Y 0.0000 0.6747 0.1747  3 B 2.86-2.97, 10 Rh 2.93-3.07
Y 0.0000 0.0000 0.0000  8 Rh 2.90
Y 0.0000 0.8253 0.6747  3 B 2.86-2.97, 10 Rh 2.93-3.07
Rh 0.5000 0.7679 0.9287  2 B 2.24
Rh 0.5000 0.0000 0.5000  4 B 2.34
Rh 0.5000 0.2679 0.5713  2 B 2.24
Rh 0.5000 0.9287 0.2321  2 B 2.24
Rh 0.5000 0.7321 0.4287  2 B 2.24
Rh 0.5000 0.5713 0.7321  2 B 2.24
Rh 0.5000 0.4287 0.2679  2 B 2.24
Rh 0.5000 0.5000 0.0000  4 B 2.34
Rh 0.5000 0.0713 0.7679  2 B 2.24
Rh 0.5000 0.2321 0.0713  2 B 2.24
B 0.0000 0.6207 0.8793  6 Rh 2.24-2.34
B 0.0000 0.1207 0.6207  6 Rh 2.24-2.34
B 0.0000 0.8793 0.3793  6 Rh 2.24-2.34
B 0.0000 0.3793 0.1207  6 Rh 2.24-2.34

What are the formation energy values for these records? In order: -0.365, -0.168, -0.520, -0.771 eV per atom.